# 1
SmDySiRh: optimized geometry, PBE.

For the uncorrected energy, the calculation gives -6.341 eV/atom.

Cell: 4.0674 5.6768 5.6768 Å, 43.38 90.00 90.00°
Fractional positions:
Sm 0.0000 0.0000 0.0000
Dy 0.5000 0.2820 0.2820
Si 0.5000 0.5775 0.5775
Rh 0.0000 0.7193 0.7193



# 2
ZnBi3S: optimized geometry, PBE.

For the uncorrected energy, the calculation gives -2.876 eV/atom.

Cell: 5.4291 5.4291 5.4291 Å, 90.00 90.00 90.00°
Fractional positions:
Zn 0.0000 0.0000 0.0000
Bi 0.0000 0.5000 0.5000
Bi 0.5000 0.0000 0.5000
Bi 0.5000 0.5000 0.0000
S 0.5000 0.5000 0.5000



# 3
ZrNb3W: optimized geometry, PBE.

The value obtained for the energy above the most stable polymorph in this dataset is 0 meV/atom. The formation energy from the elements is 1.112 eV per atom.

Cell: 4.8757 4.8757 4.8757 Å, 90.00 90.00 90.00°
Fractional positions:
Zr 0.0000 0.0000 0.0000
Nb 0.0000 0.5000 0.5000
Nb 0.5000 0.0000 0.5000
Nb 0.5000 0.5000 0.0000
W 0.5000 0.5000 0.5000



# 4
Ba4LiCd3: optimized geometry, PBE.

The value obtained for the energy above the most stable polymorph in this dataset is 19 meV/atom. The formation energy from the elements is -0.221 eV per atom.

Cell: 4.7137 5.4230 12.9246 Å, 90.00 90.00 90.00°
Fractional positions:
Ba 0.0000 0.0000 0.0000
Ba 0.0000 0.5000 0.2803
Ba 0.5000 0.0000 0.4917
Ba 0.5000 0.5000 0.7822
Li 0.0000 0.0000 0.6958
Cd 0.0000 0.5000 0.5766
Cd 0.5000 0.0000 0.2074
Cd 0.5000 0.5000 0.0700



| no. | N(E_F) (states/eV/atom) |
| --- | --- |
| 1 | 0.737 |
| 2 | 0.918 |
| 3 | 1.079 |
| 4 | 0.785 |